10
Lattice="5.8409 0.0000 0.0000 0.0000 5.8409 0.0000 0.0000 0.0000 3.8160" Properties=species:S:1:pos:R:3 comment="CoOsPb2O6 (GGA+U, relaxed)" final_energy_ev_per_cell=-63.0 pbc="T T T"
Co 0.0000 0.0000 0.0000
Os 2.9205 2.9205 0.0836
Pb 0.0000 2.9205 1.7047
Pb 2.9205 0.0000 1.7047
O 0.0000 0.0000 1.9478
O 1.5297 1.5297 0.1412
O 1.5297 4.3113 0.1412
O 2.9205 2.9205 2.0031
O 4.3113 1.5297 0.1412
O 4.3113 4.3113 0.1412